1.
A PBEsol-optimized structure of LaNbTe2N. Source: Alexandria via LeMat-Bulk, functional meta-GGA SCAN.

```
LaNbTe2N
1.0
3.9612 0.0000 0.0000
0.0000 5.5327 0.0000
0.0000 0.0000 5.5327
N Te La Nb
1 2 1 1
Direct
0.5000 0.0000 0.0000
0.0000 0.5000 0.0000
0.0000 0.0000 0.5000
0.5000 0.5000 0.5000
0.0000 0.0000 0.0000
```

Summary:
As for the crystal system: tetragonal. As for the space group: No. 123. Its calculated volume is 24.25 Å³ per atom.

---

2.
A PBEsol-optimized structure of Zr3Al. Source: Alexandria via LeMat-Bulk, functional meta-GGA SCAN.

```
Zr3Al
1.0
3.1631 0.0000 0.0000
0.0000 3.9563 0.0000
0.0000 0.0000 6.5042
Al Zr
1 3
Direct
0.0000 0.0000 0.0000
0.5000 0.5000 0.7652
0.5000 0.5000 0.2348
0.0000 0.0000 0.5000
```

Summary:
As for the crystal system: orthorhombic. As for the space group: No. 47. Its calculated volume is 20.35 Å³ per atom. For the formation energy, the calculation gives -226 meV per atom.

---

3.
A PBEsol-optimized structure of La2Ru. Source: Alexandria via LeMat-Bulk, functional meta-GGA SCAN.

```
La2Ru
1.0
-2.2853 -0.0938 -3.4907
1.8938 -6.1947 -1.0735
-5.2240 -2.2000 3.4792
La Ru
4 2
Direct
0.5000 0.2276 0.8298
0.0000 0.2724 0.3298
0.0000 0.7276 0.6702
0.5000 0.7724 0.1702
0.5000 0.5000 0.5000
0.0000 0.0000 0.0000
```

Summary:
As for the crystal system: orthorhombic. As for the space group: No. 58. Its calculated volume is 30.38 Å³ per atom. For the formation energy, the calculation gives -316 meV per atom.

---

The following D(E_F) values (in states/eV per cell) correspond, in order, to the records above: 1.8; 4.4; 1.9.
The following energy values (in eV per atom) correspond, in order, to the records above: -32.77; -25.19; -40.66.